Entry from the Alexandria database: crystalline Cs2HfTl at its relaxed geometry (GGA-PBE).

a b c (Å): 6.270 6.270 6.270
angles (deg): 60.00 60.00 60.00
Fractional coordinates of all 4 atoms:
Cs 0.750 0.750 0.750
Cs 0.250 0.250 0.250
Tl 0.500 0.500 0.500
Hf 0.000 0.000 0.000

Properties
* space group: Fm-3m
* calculated total energy: -2.3490 eV/atom
* formation energy: 1.1577 eV per atom